No. 1
First-principles (PBE) data for a geometry-optimized KNbCrH2 structure, as listed in the Alexandria database.

Cell and atoms, written as CIF:
```
data_KNbCrH2
_space_group_name_H-M_alt 'P 4/m m m'
_space_group_IT_number 123
_space_group_name_Hall '-P 4 2'
_cell_length_a 4.2640
_cell_length_b 4.2640
_cell_length_c 4.6796
_cell_angle_alpha 90.00
_cell_angle_beta 90.00
_cell_angle_gamma 90.00
loop_
_atom_site_label
_atom_site_fract_x
_atom_site_fract_y
_atom_site_fract_z
_atom_site_occupancy
K1 0.0000 0.0000 0.0000 1
Nb1 0.5000 0.5000 0.0000 1
Cr1 0.5000 0.5000 0.5000 1
H1 0.0000 0.5000 0.5000 1
```

Summary:
- crystal system = tetragonal

=====

No. 2
First-principles (PBE) data for a geometry-optimized LaTb2Nd6Ho3 structure, as listed in the Alexandria database.

Cell and atoms, written as CIF:
```
data_LaTb2Nd6Ho3
_space_group_name_H-M_alt 'C 1 2/m 1'
_space_group_IT_number 12
_space_group_name_Hall '-C 2y'
_cell_length_a 6.2991
_cell_length_b 10.9119
_cell_length_c 11.9677
_cell_angle_alpha 90.00
_cell_angle_beta 100.10
_cell_angle_gamma 90.00
loop_
_atom_site_label
_atom_site_fract_x
_atom_site_fract_y
_atom_site_fract_z
_atom_site_occupancy
La1 0.0000 0.0000 0.0000 1
Tb1 0.0000 0.3335 0.0000 1
Nd1 0.2481 0.3328 0.7468 1
Nd2 0.2495 0.0000 0.7465 1
Ho1 0.0000 0.1671 0.5000 1
Ho2 0.0000 0.5000 0.5000 1
```

Summary:
- crystal system = monoclinic
- calculated formation energy (eV per atom) = 0.017

=====

No. 3
First-principles (PBE) data for a geometry-optimized LaH3Ir structure, as listed in the Alexandria database.

Cell and atoms, written as CIF:
```
data_LaH3Ir
_space_group_name_H-M_alt 'P 1 21/c 1'
_space_group_IT_number 14
_space_group_name_Hall '-P 2ybc'
_cell_length_a 6.3912
_cell_length_b 4.4533
_cell_length_c 9.0871
_cell_angle_alpha 90.00
_cell_angle_beta 110.21
_cell_angle_gamma 90.00
loop_
_atom_site_label
_atom_site_fract_x
_atom_site_fract_y
_atom_site_fract_z
_atom_site_occupancy
La1 0.2241 0.2361 0.1762 1
H1 0.1309 0.0094 0.4067 1
H2 0.1503 0.0314 0.9031 1
H3 0.4975 0.5057 0.1113 1
Ir1 0.3326 0.7422 0.4586 1
```

Summary:
- crystal system = monoclinic

=====

No. 4
First-principles (PBE) data for a geometry-optimized Au2SeBr structure, as listed in the Alexandria database.

Cell and atoms, written as CIF:
```
data_Au2SeBr
_space_group_name_H-M_alt 'F -4 3 m'
_space_group_IT_number 216
_space_group_name_Hall 'F -4 2 3'
_cell_length_a 6.9393
_cell_length_b 6.9393
_cell_length_c 6.9393
_cell_angle_alpha 90.00
_cell_angle_beta 90.00
_cell_angle_gamma 90.00
loop_
_atom_site_label
_atom_site_fract_x
_atom_site_fract_y
_atom_site_fract_z
_atom_site_occupancy
Au1 0.0000 0.0000 0.0000 1
Au2 0.2500 0.2500 0.2500 1
Se1 0.0000 0.0000 0.5000 1
Br1 0.2500 0.2500 0.7500 1
```

Summary:
- distance to the lowest polymorph of the same formula (eV/atom) = 0.5629
- crystal system = cubic
- uncorrected formation energy (eV per atom) = 0.578

=====

No. 5
First-principles (PBE) data for a geometry-optimized ScTcS3 structure, as listed in the Alexandria database.

Cell and atoms, written as CIF:
```
data_ScTcS3
_space_group_name_H-M_alt 'P m -3 m'
_space_group_IT_number 221
_space_group_name_Hall '-P 4 2 3'
_cell_length_a 4.6382
_cell_length_b 4.6382
_cell_length_c 4.6382
_cell_angle_alpha 90.00
_cell_angle_beta 90.00
_cell_angle_gamma 90.00
loop_
_atom_site_label
_atom_site_fract_x
_atom_site_fract_y
_atom_site_fract_z
_atom_site_occupancy
Sc1 0.0000 0.0000 0.0000 1
Tc1 0.5000 0.5000 0.5000 1
S1 0.0000 0.5000 0.5000 1
```

Summary:
- distance to the lowest polymorph of the same formula (eV/atom) = 0.0000
- crystal system = cubic
- uncorrected formation energy (eV per atom) = -0.241

=====

No. 6
First-principles (PBE) data for a geometry-optimized Ac2Ga7Au12 structure, as listed in the Alexandria database.

Cell and atoms, written as CIF:
```
data_Ac2Ga7Au12
_space_group_name_H-M_alt 'P -6'
_space_group_IT_number 174
_space_group_name_Hall 'P -6'
_cell_length_a 10.5106
_cell_length_b 10.5106
_cell_length_c 4.4079
_cell_angle_alpha 90.00
_cell_angle_beta 90.00
_cell_angle_gamma 120.00
loop_
_atom_site_label
_atom_site_fract_x
_atom_site_fract_y
_atom_site_fract_z
_atom_site_occupancy
Ac1 0.0000 0.0000 0.0000 1
Ac2 0.3333 0.6667 0.5000 1
Ga1 0.0395 0.5796 0.0000 1
Ga2 0.2768 0.0248 0.5000 1
Ga3 0.6667 0.3333 0.0000 1
Au1 0.0286 0.7706 0.5000 1
Au2 0.1433 0.3982 0.0000 1
Au3 0.3765 0.1847 0.0000 1
Au4 0.5573 0.4315 0.5000 1
```

Summary:
- crystal system = hexagonal
- calculated formation energy (eV per atom) = -0.411

=====

No. 7
First-principles (PBE) data for a geometry-optimized CaPPtO2 structure, as listed in the Alexandria database.

Cell and atoms, written as CIF:
```
data_CaPPtO2
_space_group_name_H-M_alt 'P 4/m m m'
_space_group_IT_number 123
_space_group_name_Hall '-P 4 2'
_cell_length_a 4.1133
_cell_length_b 4.1133
_cell_length_c 4.7487
_cell_angle_alpha 90.00
_cell_angle_beta 90.00
_cell_angle_gamma 90.00
loop_
_atom_site_label
_atom_site_fract_x
_atom_site_fract_y
_atom_site_fract_z
_atom_site_occupancy
Ca1 0.0000 0.0000 0.0000 1
P1 0.5000 0.5000 0.0000 1
Pt1 0.5000 0.5000 0.5000 1
O1 0.0000 0.5000 0.5000 1
```

Summary:
- distance to the lowest polymorph of the same formula (eV/atom) = 0.0000
- crystal system = tetragonal
- uncorrected formation energy (eV per atom) = -0.494

=====

No. 8
First-principles (PBE) data for a geometry-optimized H2PdPb structure, as listed in the Alexandria database.

Cell and atoms, written as CIF:
```
data_H2PdPb
_space_group_name_H-M_alt 'F m -3 m'
_space_group_IT_number 225
_space_group_name_Hall '-F 4 2 3'
_cell_length_a 5.9534
_cell_length_b 5.9534
_cell_length_c 5.9534
_cell_angle_alpha 90.00
_cell_angle_beta 90.00
_cell_angle_gamma 90.00
loop_
_atom_site_label
_atom_site_fract_x
_atom_site_fract_y
_atom_site_fract_z
_atom_site_occupancy
H1 0.2500 0.2500 0.2500 1
Pd1 0.0000 0.0000 0.0000 1
Pb1 0.0000 0.0000 0.5000 1
```

Summary:
- distance to the lowest polymorph of the same formula (eV/atom) = 0.6208
- crystal system = cubic

=====

No. 9
First-principles (PBE) data for a geometry-optimized NdHfCu structure, as listed in the Alexandria database.

Cell and atoms, written as CIF:
```
data_NdHfCu
_space_group_name_H-M_alt 'P -6 m 2'
_space_group_IT_number 187
_space_group_name_Hall 'P -6 2'
_cell_length_a 3.5589
_cell_length_b 3.5589
_cell_length_c 13.1121
_cell_angle_alpha 90.00
_cell_angle_beta 90.00
_cell_angle_gamma 120.00
loop_
_atom_site_label
_atom_site_fract_x
_atom_site_fract_y
_atom_site_fract_z
_atom_site_occupancy
Nd1 0.0000 0.0000 0.1680 1
Hf1 0.6667 0.3333 0.3694 1
Cu1 0.0000 0.0000 0.5000 1
Cu2 0.6667 0.3333 0.0000 1
```

Summary:
- distance to the lowest polymorph of the same formula (eV/atom) = 0.2043
- crystal system = hexagonal
- calculated formation energy (eV per atom) = 0.208

=====

No. 10
First-principles (PBE) data for a geometry-optimized Sc2InPt structure, as listed in the Alexandria database.

Cell and atoms, written as CIF:
```
data_Sc2InPt
_space_group_name_H-M_alt 'I m m m'
_space_group_IT_number 71
_space_group_name_Hall '-I 2 2'
_cell_length_a 3.7710
_cell_length_b 3.7862
_cell_length_c 14.0503
_cell_angle_alpha 90.00
_cell_angle_beta 90.00
_cell_angle_gamma 90.00
loop_
_atom_site_label
_atom_site_fract_x
_atom_site_fract_y
_atom_site_fract_z
_atom_site_occupancy
Sc1 0.0000 0.0000 0.1834 1
In1 0.0000 0.0000 0.5000 1
Pt1 0.0000 0.0000 0.0000 1
```

Summary:
- crystal system = orthorhombic
- calculated formation energy (eV per atom) = -0.174

=====

No. 11
First-principles (PBE) data for a geometry-optimized LiNdThTc structure, as listed in the Alexandria database.

Cell and atoms, written as CIF:
```
data_LiNdThTc
_space_group_name_H-M_alt 'F -4 3 m'
_space_group_IT_number 216
_space_group_name_Hall 'F -4 2 3'
_cell_length_a 7.1949
_cell_length_b 7.1949
_cell_length_c 7.1949
_cell_angle_alpha 90.00
_cell_angle_beta 90.00
_cell_angle_gamma 90.00
loop_
_atom_site_label
_atom_site_fract_x
_atom_site_fract_y
_atom_site_fract_z
_atom_site_occupancy
Li1 0.0000 0.0000 0.0000 1
Nd1 0.2500 0.2500 0.2500 1
Th1 0.2500 0.2500 0.7500 1
Tc1 0.0000 0.0000 0.5000 1
```

Summary:
- crystal system = cubic
- calculated formation energy (eV per atom) = 0.018

=====

No. 12
First-principles (PBE) data for a geometry-optimized KTlIrPd2 structure, as listed in the Alexandria database.

Cell and atoms, written as CIF:
```
data_KTlIrPd2
_space_group_name_H-M_alt 'P 4/m m m'
_space_group_IT_number 123
_space_group_name_Hall '-P 4 2'
_cell_length_a 5.0751
_cell_length_b 5.0751
_cell_length_c 5.7876
_cell_angle_alpha 90.00
_cell_angle_beta 90.00
_cell_angle_gamma 90.00
loop_
_atom_site_label
_atom_site_fract_x
_atom_site_fract_y
_atom_site_fract_z
_atom_site_occupancy
K1 0.0000 0.0000 0.0000 1
Tl1 0.0000 0.0000 0.5000 1
Ir1 0.5000 0.5000 0.0000 1
Pd1 0.0000 0.5000 0.5000 1
```

Summary:
- crystal system = tetragonal
- calculated formation energy (eV per atom) = 1.443

=====

No. 13
First-principles (PBE) data for a geometry-optimized Rb2SmZrSe4 structure, as listed in the Alexandria database.

Cell and atoms, written as CIF:
```
data_Rb2SmZrSe4
_space_group_name_H-M_alt 'P 1 2/m 1'
_space_group_IT_number 10
_space_group_name_Hall '-P 2y'
_cell_length_a 7.1960
_cell_length_b 4.1165
_cell_length_c 8.3889
_cell_angle_alpha 90.00
_cell_angle_beta 106.29
_cell_angle_gamma 90.00
loop_
_atom_site_label
_atom_site_fract_x
_atom_site_fract_y
_atom_site_fract_z
_atom_site_occupancy
Rb1 0.0000 0.0000 0.0000 1
Rb2 0.5000 0.5000 0.0000 1
Sm1 0.0000 0.5000 0.5000 1
Zr1 0.5000 0.0000 0.5000 1
Se1 0.2492 0.0000 0.6997 1
Se2 0.2833 0.5000 0.3060 1
```

Summary:
- crystal system = monoclinic
- uncorrected formation energy (eV per atom) = -1.491

=====

No. 14
First-principles (PBE) data for a geometry-optimized Pr2Y2Tm structure, as listed in the Alexandria database.

Cell and atoms, written as CIF:
```
data_Pr2Y2Tm
_space_group_name_H-M_alt 'I m m a'
_space_group_IT_number 74
_space_group_name_Hall '-I 2b 2'
_cell_length_a 3.6803
_cell_length_b 5.7807
_cell_length_c 31.7971
_cell_angle_alpha 90.00
_cell_angle_beta 90.00
_cell_angle_gamma 90.00
loop_
_atom_site_label
_atom_site_fract_x
_atom_site_fract_y
_atom_site_fract_z
_atom_site_occupancy
Pr1 0.0000 0.2500 0.0217 1
Pr2 0.0000 0.2500 0.1208 1
Y1 0.0000 0.2500 0.2914 1
Y2 0.0000 0.2500 0.8047 1
Tm1 0.0000 0.2500 0.5813 1
```

Summary:
- distance to the lowest polymorph of the same formula (eV/atom) = 0.1216
- crystal system = orthorhombic
- calculated formation energy (eV per atom) = 0.139

=====

Number 1: DFT total energy -4.29 eV/atom, volume 17.017 Å³ per atom. Number 2: DFT total energy -4.69 eV/atom, volume 33.744 Å³ per atom. Number 3: DFT total energy -5.29 eV/atom, volume 12.135 Å³ per atom. Number 4: DFT total energy -2.35 eV/atom, volume 20.884 Å³ per atom. Number 5: DFT total energy -6.06 eV/atom, volume 19.956 Å³ per atom. Number 6: DFT total energy -3.68 eV/atom, volume 20.082 Å³ per atom. Number 7: DFT total energy -5.17 eV/atom, volume 16.069 Å³ per atom. Number 8: DFT total energy -3.29 eV/atom, volume 13.188 Å³ per atom. Number 9: DFT total energy -6.06 eV/atom, volume 23.970 Å³ per atom. Number 10: DFT total energy -5.53 eV/atom, volume 25.075 Å³ per atom. Number 11: DFT total energy -6.10 eV/atom, volume 23.279 Å³ per atom. Number 12: DFT total energy -3.10 eV/atom, volume 29.813 Å³ per atom. Number 13: DFT total energy -5.13 eV/atom, volume 29.816 Å³ per atom. Number 14: DFT total energy -5.25 eV/atom, volume 33.824 Å³ per atom.